1.
! YCuPb SCAN single point on PBEsol structure; values from VASP
! Symmetry   No. 186
! DFT total energy   -241.38 eV for the cell shown
! D(E_F)   0.086 states/eV per atom
! Calculated volume   21.7 Å³/atom
! Calculated formation energy   -622 meV per atom
&SYSTEM
  ibrav = 0, nat = 6, ntyp = 3
/
ATOMIC_SPECIES
Y 88.91 Y.upf
Cu 63.55 Cu.upf
Pb 207.20 Pb.upf
ATOMIC_POSITIONS crystal
Y 0.000 0.000 0.000
Y 0.000 0.000 0.500
Cu 0.333 0.667 0.176
Cu 0.667 0.333 0.676
Pb 0.333 0.667 0.770
Pb 0.667 0.333 0.270
CELL_PARAMETERS angstrom
4.545 0.000 0.000
-2.273 3.936 0.000
0.000 0.000 7.262

2.
! BiS2ClF SCAN single point on PBEsol structure; values from VASP
! Symmetry   No. 123
! DFT total energy   -108.18 eV for the cell shown
! D(E_F)   0.347 states/eV per atom
! Calculated volume   18.6 Å³/atom
! Energy above the lowest structure with this stoichiometry   0.0000 eV per atom
! Energy relative to the elements, uncorrected   234 meV per atom
&SYSTEM
  ibrav = 0, nat = 5, ntyp = 4
/
ATOMIC_SPECIES
Bi 208.98 Bi.upf
S 32.06 S.upf
Cl 35.45 Cl.upf
F 19.00 F.upf
ATOMIC_POSITIONS crystal
Bi 0.000 0.000 0.000
S 0.000 0.500 0.500
S 0.500 0.000 0.500
Cl 0.500 0.500 0.000
F 0.500 0.500 0.500
CELL_PARAMETERS angstrom
4.247 0.000 0.000
0.000 4.247 0.000
0.000 0.000 5.144

3.
! Na2Ca3B5H2S2ClO18 SCAN single point on PBEsol structure; values from VASP
! Symmetry   No. 15
! DFT total energy   -604.81 eV for the cell shown
! D(E_F)   0.000 states/eV per atom
! Calculated volume   11.1 Å³/atom
&SYSTEM
  ibrav = 0, nat = 66, ntyp = 7
/
ATOMIC_SPECIES
Na 22.99 Na.upf
Ca 40.08 Ca.upf
B 10.81 B.upf
H 1.01 H.upf
S 32.06 S.upf
Cl 35.45 Cl.upf
O 16.00 O.upf
ATOMIC_POSITIONS crystal
Na 0.067 0.621 0.924
Na 0.379 0.933 0.576
Na 0.621 0.067 0.424
Na 0.933 0.379 0.076
Ca 0.107 0.893 0.750
Ca 0.150 0.673 0.402
Ca 0.327 0.850 0.098
Ca 0.673 0.150 0.902
Ca 0.850 0.327 0.598
Ca 0.893 0.107 0.250
B 0.009 0.471 0.749
B 0.306 0.694 0.250
B 0.321 0.348 0.182
B 0.348 0.321 0.682
B 0.471 0.009 0.249
B 0.529 0.991 0.751
B 0.652 0.679 0.318
B 0.679 0.652 0.818
B 0.694 0.306 0.750
B 0.991 0.529 0.251
H 0.299 0.401 0.575
H 0.401 0.299 0.075
H 0.599 0.701 0.925
H 0.701 0.599 0.425
S 0.114 0.161 0.422
S 0.161 0.114 0.922
S 0.839 0.886 0.078
S 0.886 0.839 0.578
Cl 0.500 0.500 0.000
Cl 0.500 0.500 0.500
O 0.010 0.716 0.519
O 0.021 0.710 0.050
O 0.032 0.941 0.625
O 0.059 0.968 0.875
O 0.077 0.702 0.270
O 0.101 0.357 0.210
O 0.204 0.491 0.727
O 0.209 0.300 0.378
O 0.247 0.315 0.610
O 0.284 0.990 0.981
O 0.290 0.979 0.450
O 0.298 0.923 0.230
O 0.300 0.209 0.878
O 0.315 0.247 0.110
O 0.357 0.101 0.710
O 0.359 0.564 0.184
O 0.436 0.641 0.316
O 0.491 0.204 0.227
O 0.509 0.796 0.773
O 0.564 0.359 0.684
O 0.641 0.436 0.816
O 0.643 0.899 0.290
O 0.685 0.753 0.890
O 0.700 0.791 0.122
O 0.702 0.077 0.770
O 0.710 0.021 0.550
O 0.716 0.010 0.019
O 0.753 0.685 0.390
O 0.791 0.700 0.622
O 0.796 0.509 0.273
O 0.899 0.643 0.790
O 0.923 0.298 0.730
O 0.941 0.032 0.125
O 0.968 0.059 0.375
O 0.979 0.290 0.950
O 0.990 0.284 0.481
CELL_PARAMETERS angstrom
5.039 -3.909 0.000
5.039 3.909 0.000
-0.850 0.000 18.652

4.
! Sc2MoPb SCAN single point on PBEsol structure; values from VASP
! Symmetry   No. 123
! DFT total energy   -140.02 eV for the cell shown
! D(E_F)   0.872 states/eV per atom
! Calculated volume   20.0 Å³/atom
! Calculated formation energy   -221 meV per atom
&SYSTEM
  ibrav = 0, nat = 4, ntyp = 3
/
ATOMIC_SPECIES
Sc 44.96 Sc.upf
Mo 95.94 Mo.upf
Pb 207.20 Pb.upf
ATOMIC_POSITIONS crystal
Sc 0.000 0.000 0.222
Sc 0.000 0.000 0.778
Mo 0.500 0.500 0.000
Pb 0.500 0.500 0.500
CELL_PARAMETERS angstrom
3.488 0.000 0.000
0.000 3.488 0.000
0.000 0.000 6.577

5.
! ScZn4Ir SCAN single point on PBEsol structure; values from VASP
! Symmetry   No. 216
! DFT total energy   -142.74 eV for the cell shown
! Calculated volume   14.0 Å³/atom
! Calculated formation energy   -557 meV per atom
&SYSTEM
  ibrav = 0, nat = 6, ntyp = 3
/
ATOMIC_SPECIES
Sc 44.96 Sc.upf
Zn 65.41 Zn.upf
Ir 192.22 Ir.upf
ATOMIC_POSITIONS crystal
Sc 0.000 0.000 0.000
Zn 0.126 0.625 0.625
Zn 0.625 0.126 0.625
Zn 0.625 0.625 0.126
Zn 0.625 0.625 0.625
Ir 0.250 0.250 0.250
CELL_PARAMETERS angstrom
0.000 3.475 3.475
3.475 0.000 3.475
3.475 3.475 0.000

6.
! AlOs SCAN single point on PBEsol structure; values from VASP
! Symmetry   No. 225
! DFT total energy   -78.31 eV for the cell shown
! D(E_F)   0.971 states/eV per atom
! Calculated volume   15.5 Å³/atom
! Calculated formation energy   663 meV per atom
&SYSTEM
  ibrav = 0, nat = 2, ntyp = 2
/
ATOMIC_SPECIES
Al 26.98 Al.upf
Os 190.23 Os.upf
ATOMIC_POSITIONS crystal
Al 0.000 0.000 0.000
Os 0.500 0.500 0.500
CELL_PARAMETERS angstrom
0.000 2.494 2.494
2.494 0.000 2.494
2.494 2.494 0.000

7.
! TiCoSn SCAN single point on PBEsol structure; values from VASP
! Symmetry   No. 216
! DFT total energy   -70.31 eV for the cell shown
! D(E_F)   1.115 states/eV per atom
! Calculated volume   16.8 Å³/atom
! Calculated formation energy   -351 meV per atom
&SYSTEM
  ibrav = 0, nat = 3, ntyp = 3
/
ATOMIC_SPECIES
Ti 47.87 Ti.upf
Co 58.93 Co.upf
Sn 118.71 Sn.upf
ATOMIC_POSITIONS crystal
Ti 0.000 0.000 0.000
Co 0.750 0.750 0.750
Sn 0.500 0.500 0.500
CELL_PARAMETERS angstrom
0.000 2.932 2.932
2.932 0.000 2.932
2.932 2.932 0.000

8.
! Zn2InSi SCAN single point on PBEsol structure; values from VASP
! Symmetry   No. 6
! DFT total energy   -69.37 eV for the cell shown
! D(E_F)   0.354 states/eV per atom
! Calculated volume   17.6 Å³/atom
! Energy above the lowest structure with this stoichiometry   0.0000 eV per atom
! Energy relative to the elements, uncorrected   267 meV per atom
&SYSTEM
  ibrav = 0, nat = 4, ntyp = 3
/
ATOMIC_SPECIES
Zn 65.41 Zn.upf
In 114.82 In.upf
Si 28.09 Si.upf
ATOMIC_POSITIONS crystal
Zn 0.000 0.000 0.000
Zn 0.395 0.500 0.789
In 0.635 0.500 0.275
Si 0.802 0.000 0.605
CELL_PARAMETERS angstrom
2.766 0.000 0.000
0.000 3.743 0.000
-1.380 0.000 6.782

9.
! CaRe2Te SCAN single point on PBEsol structure; values from VASP
! Symmetry   No. 38
! DFT total energy   -188.44 eV for the cell shown
! D(E_F)   0.774 states/eV per atom
! Calculated volume   20.5 Å³/atom
! Energy relative to the elements, uncorrected   167 meV per atom
&SYSTEM
  ibrav = 0, nat = 4, ntyp = 3
/
ATOMIC_SPECIES
Ca 40.08 Ca.upf
Re 186.21 Re.upf
Te 127.60 Te.upf
ATOMIC_POSITIONS crystal
Ca 0.000 0.000 0.000
Re 0.000 0.207 0.207
Re 0.500 0.629 0.629
Te 0.500 0.347 0.347
CELL_PARAMETERS angstrom
3.131 0.000 0.000
0.000 1.556 8.406
0.000 -1.556 8.406

10.
! CaLaI5 SCAN single point on PBEsol structure; values from VASP
! Symmetry   No. 62
! DFT total energy   -991.85 eV for the cell shown
! D(E_F)   0.000 states/eV per atom
! Calculated volume   42.7 Å³/atom
! Energy above the lowest structure with this stoichiometry   0.0055 eV per atom
! Energy relative to the elements, uncorrected   -1641 meV per atom
&SYSTEM
  ibrav = 0, nat = 28, ntyp = 3
/
ATOMIC_SPECIES
Ca 40.08 Ca.upf
La 138.91 La.upf
I 126.90 I.upf
ATOMIC_POSITIONS crystal
Ca 0.162 0.250 0.249
Ca 0.338 0.750 0.749
Ca 0.662 0.250 0.251
Ca 0.838 0.750 0.751
La 0.089 0.250 0.753
La 0.411 0.750 0.253
La 0.589 0.250 0.747
La 0.911 0.750 0.247
I 0.026 0.750 0.881
I 0.057 0.750 0.356
I 0.150 0.750 0.622
I 0.163 0.750 0.106
I 0.236 0.250 0.859
I 0.264 0.750 0.359
I 0.337 0.250 0.606
I 0.350 0.250 0.122
I 0.443 0.250 0.856
I 0.474 0.250 0.381
I 0.526 0.750 0.619
I 0.557 0.750 0.144
I 0.650 0.750 0.878
I 0.663 0.750 0.394
I 0.736 0.250 0.641
I 0.764 0.750 0.141
I 0.837 0.250 0.894
I 0.850 0.250 0.378
I 0.943 0.250 0.644
I 0.974 0.250 0.119
CELL_PARAMETERS angstrom
18.537 0.000 0.000
0.000 4.386 0.000
0.000 0.000 14.708

11.
! Zn5Cu SCAN single point on PBEsol structure; values from VASP
! Symmetry   No. 123
! DFT total energy   -82.77 eV for the cell shown
! D(E_F)   0.288 states/eV per atom
! Calculated volume   13.5 Å³/atom
! Calculated formation energy   1 meV per atom
&SYSTEM
  ibrav = 0, nat = 6, ntyp = 2
/
ATOMIC_SPECIES
Zn 65.41 Zn.upf
Cu 63.55 Cu.upf
ATOMIC_POSITIONS crystal
Zn 0.000 0.000 0.000
Zn 0.000 0.000 0.345
Zn 0.000 0.000 0.655
Zn 0.500 0.500 0.172
Zn 0.500 0.500 0.828
Cu 0.500 0.500 0.500
CELL_PARAMETERS angstrom
2.701 0.000 0.000
0.000 2.701 0.000
0.000 0.000 11.066

12.
! HgPC3 SCAN single point on PBEsol structure; values from VASP
! Symmetry   No. 221
! DFT total energy   -97.59 eV for the cell shown
! D(E_F)   0.395 states/eV per atom
! Calculated volume   10.4 Å³/atom
! Calculated formation energy   2256 meV per atom
&SYSTEM
  ibrav = 0, nat = 5, ntyp = 3
/
ATOMIC_SPECIES
Hg 200.59 Hg.upf
P 30.97 P.upf
C 12.01 C.upf
ATOMIC_POSITIONS crystal
Hg 0.000 0.000 0.000
P 0.500 0.500 0.500
C 0.000 0.500 0.500
C 0.500 0.000 0.500
C 0.500 0.500 0.000
CELL_PARAMETERS angstrom
3.737 0.000 0.000
0.000 3.737 0.000
0.000 0.000 3.737